No. 1
Computed, not measured: Rb5InO5 after structural relaxation at the PBE level of DFT.

Values from the calculation:
Calculated density: 4.10 g/cm³
Total magnetic moment: 2.02 μB per formula unit
Formation energy (no corrections): -0.978 eV/atom
Symmetry: No. 12
D(E_F): 6.88 states/eV/cell

Cell: 5.6922 6.8337 7.4503 Å, 105.56 90.00 114.61°
Last column: magnetic moment on the atom in μB.
Fractional coordinates of all 11 atoms:
Rb (0.6871, 0.3741, 0.3123)  0.00
Rb (0.6683, 0.3365, 0.8452)  0.02
Rb (0.0000, 0.0000, 0.5000)  0.02
Rb (0.3317, 0.6635, 0.1548)  0.02
Rb (0.3129, 0.6259, 0.6877)  0.00
In (0.0000, 0.0000, 0.0000)  -0.02
O (0.8714, 0.7429, 0.1372)  0.24
O (0.8632, 0.7264, 0.7288)  0.32
O (0.5000, 0.0000, 0.0000)  0.48
O (0.1368, 0.2736, 0.2712)  0.32
O (0.1286, 0.2571, 0.8628)  0.24

=====

No. 2
Computed, not measured: Rb3Na3Cd8 after structural relaxation at the PBE level of DFT.

Values from the calculation:
Energy relative to the elements: -68 kJ/mol of formula units
Calculated density: 4.29 g/cm³
Total magnetic moment: 0.00 μB per formula unit
Symmetry: No. 71
D(E_F): 7.54 states/eV/cell

Cell: 5.2399 10.1683 10.1683 Å, 66.78 75.07 75.07°
Fractional coordinates of all 14 atoms:
Rb (0.5000, 0.5000, 0.5000)
Rb (0.8023, 0.1977, 0.1977)
Rb (0.1977, 0.8023, 0.8023)
Na (0.5000, 0.0000, 0.0000)
Na (0.0000, 0.7772, 0.2228)
Na (0.0000, 0.2228, 0.7772)
Cd (0.6431, 0.0833, 0.6304)
Cd (0.3569, 0.9167, 0.3696)
Cd (0.6431, 0.6304, 0.0833)
Cd (0.3569, 0.3696, 0.9167)
Cd (0.8262, 0.8123, 0.5353)
Cd (0.1738, 0.1877, 0.4647)
Cd (0.8262, 0.5353, 0.8123)
Cd (0.1738, 0.4647, 0.1877)

=====

No. 3
Computed, not measured: RbIrSN2 after structural relaxation at the PBE level of DFT.

Values from the calculation:
Calculated density: 5.36 g/cm³
Total magnetic moment: 4.52 μB per formula unit
Formation energy (no corrections): 3.282 eV/atom
Symmetry: No. 123
D(E_F): 5.90 states/eV/cell

Cell: 4.1170 4.1170 6.1725 Å, 90.00 90.00 90.00°
Last column: magnetic moment on the atom in μB.
Fractional coordinates of all 5 atoms:
S (0.0000, 0.0000, 0.5000)  0.20
Ir (0.5000, 0.5000, 0.5000)  1.77
Rb (0.0000, 0.0000, 0.0000)  0.01
N (0.0000, 0.5000, 0.0000)  0.82
N (0.5000, 0.0000, 0.0000)  0.82

=====

No. 4
Computed, not measured: Ce2TlB2Rh5 after structural relaxation at the PBE level of DFT.

Values from the calculation:
Energy relative to the elements: -595 kJ/mol of formula units
Calculated density: 10.76 g/cm³
Total magnetic moment: 0.75 μB per formula unit
Symmetry: No. 127
D(E_F): 16.46 states/eV/cell

Cell: 3.3285 9.7286 9.7286 Å, 90.00 90.00 90.00°
Last column: magnetic moment on the atom in μB.
Fractional coordinates of all 20 atoms:
Ce (0.0000, 0.6767, 0.1767)  0.41
Ce (0.0000, 0.3233, 0.8233)  0.41
Ce (0.0000, 0.1767, 0.3233)  0.41
Ce (0.0000, 0.8233, 0.6767)  0.41
Tl (0.0000, 0.0000, 0.0000)  0.00
Tl (0.0000, 0.5000, 0.5000)  0.00
B (0.0000, 0.1196, 0.6196)  0.00
B (0.0000, 0.8804, 0.3804)  0.00
B (0.0000, 0.6196, 0.8804)  0.00
B (0.0000, 0.3804, 0.1196)  0.00
Rh (0.5000, 0.2300, 0.0715)  -0.03
Rh (0.5000, 0.7700, 0.9285)  -0.03
Rh (0.5000, 0.0715, 0.7700)  -0.03
Rh (0.5000, 0.7300, 0.4285)  -0.03
Rh (0.5000, 0.9285, 0.2300)  -0.03
Rh (0.5000, 0.2700, 0.5715)  -0.03
Rh (0.5000, 0.5715, 0.7300)  -0.03
Rh (0.5000, 0.4285, 0.2700)  -0.03
Rh (0.5000, 0.5000, 0.0000)  -0.03
Rh (0.5000, 0.0000, 0.5000)  -0.03

=====

No. 5
Computed, not measured: NaAl2ZnSb after structural relaxation at the PBE level of DFT.

Values from the calculation:
Calculated density: 3.70 g/cm³
Total magnetic moment: 0.00 μB per formula unit
Formation energy (no corrections): 0.306 eV/atom
Symmetry: No. 123
D(E_F): 1.42 states/eV/cell

Cell: 4.8017 5.1410 4.8017 Å, 90.00 90.00 90.00°
Fractional coordinates of all 5 atoms:
Sb (0.5000, 0.5000, 0.5000)
Zn (0.0000, 0.0000, 0.0000)
Al (0.0000, 0.0000, 0.5000)
Al (0.5000, 0.0000, 0.0000)
Na (0.0000, 0.5000, 0.0000)

=====

No. 6
Computed, not measured: Mg2Zn2Cu5Pd after structural relaxation at the PBE level of DFT.

Values from the calculation:
Energy relative to the elements: -88 kJ/mol of formula units
Calculated density: 6.89 g/cm³
Total magnetic moment: 0.00 μB per formula unit
Symmetry: No. 127
D(E_F): 5.69 states/eV/cell

Cell: 3.8790 8.6627 8.6627 Å, 90.00 90.00 90.00°
Fractional coordinates of all 20 atoms:
Mg (0.0000, 0.6790, 0.1790)
Mg (0.0000, 0.3210, 0.8210)
Mg (0.0000, 0.1790, 0.3210)
Mg (0.0000, 0.8210, 0.6790)
Zn (0.0000, 0.1188, 0.6188)
Zn (0.0000, 0.8812, 0.3812)
Zn (0.0000, 0.6188, 0.8812)
Zn (0.0000, 0.3812, 0.1188)
Cu (0.5000, 0.2021, 0.0675)
Cu (0.5000, 0.7979, 0.9325)
Cu (0.5000, 0.0675, 0.7979)
Cu (0.5000, 0.7021, 0.4325)
Cu (0.5000, 0.9325, 0.2021)
Cu (0.5000, 0.2979, 0.5675)
Cu (0.5000, 0.5675, 0.7021)
Cu (0.5000, 0.4325, 0.2979)
Cu (0.5000, 0.5000, 0.0000)
Cu (0.5000, 0.0000, 0.5000)
Pd (0.0000, 0.0000, 0.0000)
Pd (0.0000, 0.5000, 0.5000)

=====

No. 7
Computed, not measured: DyHfOs2 after structural relaxation at the PBE level of DFT.

Values from the calculation:
Energy relative to the elements: -150 kJ/mol of formula units
Calculated density: 16.24 g/cm³
Total magnetic moment: 0.00 μB per formula unit
Symmetry: No. 123
D(E_F): 2.84 states/eV/cell

Cell: 3.3047 3.3047 6.7560 Å, 90.00 90.00 90.00°
Fractional coordinates of all 4 atoms:
Hf (0.5000, 0.5000, 0.0000)
Os (0.0000, 0.0000, 0.7697)
Os (0.0000, 0.0000, 0.2303)
Dy (0.5000, 0.5000, 0.5000)

=====

No. 8
Computed, not measured: Li12H5Au3 after structural relaxation at the PBE level of DFT.

Values from the calculation:
Energy: -2.764 eV/atom
Calculated density: 4.13 g/cm³
Total magnetic moment: 0.00 μB per formula unit
Symmetry: No. 230
D(E_F): 27.97 states/eV/cell

Cell: 11.2419 11.2419 11.2419 Å, 109.47 109.47 109.47°
Fractional coordinates of all 80 atoms:
Au (0.7500, 0.3750, 0.1250)
Au (0.8750, 0.7500, 0.1250)
Au (0.3750, 0.7500, 0.6250)
Au (0.2500, 0.1250, 0.3750)
Au (0.8750, 0.1250, 0.2500)
Au (0.3750, 0.6250, 0.2500)
Au (0.6250, 0.3750, 0.7500)
Au (0.1250, 0.8750, 0.7500)
Au (0.7500, 0.8750, 0.6250)
Au (0.6250, 0.2500, 0.3750)
Au (0.1250, 0.2500, 0.8750)
Au (0.2500, 0.6250, 0.8750)
H (0.1250, 0.3750, 0.2500)
H (0.0000, 0.5000, 0.0000)
H (0.0000, 0.0000, 0.0000)
H (0.3750, 0.2500, 0.1250)
H (0.5000, 0.0000, 0.5000)
H (0.5000, 0.5000, 0.0000)
H (0.1250, 0.7500, 0.3750)
H (0.7500, 0.1250, 0.8750)
H (0.7500, 0.6250, 0.3750)
H (0.3750, 0.1250, 0.7500)
H (0.6250, 0.8750, 0.2500)
H (0.5000, 0.5000, 0.5000)
H (0.5000, 0.0000, 0.0000)
H (0.0000, 0.0000, 0.5000)
H (0.2500, 0.3750, 0.6250)
H (0.2500, 0.8750, 0.1250)
H (0.0000, 0.5000, 0.5000)
H (0.8750, 0.2500, 0.6250)
H (0.6250, 0.7500, 0.8750)
H (0.8750, 0.6250, 0.7500)
Li (0.6946, 0.1097, 0.0088)
Li (0.3142, 0.5088, 0.3990)
Li (0.9912, 0.3903, 0.3054)
Li (0.5088, 0.1946, 0.1097)
Li (0.5848, 0.6946, 0.6858)
Li (0.9912, 0.6010, 0.1858)
Li (0.3142, 0.8054, 0.4152)
Li (0.1010, 0.9152, 0.1097)
Li (0.6010, 0.9912, 0.6858)
Li (0.6946, 0.5848, 0.1858)
Li (0.8054, 0.4912, 0.3903)
Li (0.8142, 0.8990, 0.0088)
Li (0.1097, 0.6946, 0.5088)
Li (0.3903, 0.3990, 0.0848)
Li (0.0848, 0.8990, 0.3903)
Li (0.4152, 0.1097, 0.6010)
Li (0.0848, 0.1858, 0.1946)
Li (0.4912, 0.6858, 0.1010)
Li (0.8142, 0.9152, 0.3054)
Li (0.1097, 0.4152, 0.1010)
Li (0.3903, 0.9912, 0.8054)
Li (0.6010, 0.6097, 0.4152)
Li (0.8990, 0.8142, 0.5088)
Li (0.8054, 0.3142, 0.9152)
Li (0.3990, 0.3903, 0.5848)
Li (0.1010, 0.1858, 0.4912)
Li (0.1946, 0.6858, 0.0848)
Li (0.1858, 0.0848, 0.6946)
Li (0.6097, 0.0088, 0.1946)
Li (0.8903, 0.5848, 0.8990)
Li (0.5088, 0.3142, 0.8990)
Li (0.5848, 0.8903, 0.3990)
Li (0.9152, 0.8142, 0.8054)
Li (0.9152, 0.1010, 0.6097)
Li (0.8903, 0.3054, 0.4912)
Li (0.1858, 0.1010, 0.9912)
Li (0.6097, 0.6010, 0.9152)
Li (0.3990, 0.0088, 0.3142)
Li (0.3054, 0.4152, 0.8142)
Li (0.1946, 0.5088, 0.6097)
Li (0.8990, 0.0848, 0.8903)
Li (0.6858, 0.1946, 0.5848)
Li (0.4912, 0.8054, 0.8903)
Li (0.0088, 0.3990, 0.8142)
Li (0.4152, 0.3054, 0.3142)
Li (0.0088, 0.6097, 0.6946)
Li (0.6858, 0.4912, 0.6010)
Li (0.3054, 0.8903, 0.9912)

=====

No. 9
Computed, not measured: LiAcSiRh after structural relaxation at the PBE level of DFT.

Values from the calculation:
Calculated density: 7.12 g/cm³
Total magnetic moment: 0.00 μB per formula unit
Formation energy (no corrections): -0.569 eV/atom
Symmetry: No. 160
D(E_F): 3.22 states/eV/cell

Cell: 4.2396 4.2396 5.9898 Å, 69.27 69.27 60.00°
Fractional coordinates of all 4 atoms:
Li (0.0069, 0.0069, 0.9792)
Ac (0.8157, 0.8157, 0.5529)
Si (0.6138, 0.6138, 0.1585)
Rh (0.2894, 0.2894, 0.1318)

=====

No. 10
Computed, not measured: ZnTc2Sb after structural relaxation at the PBE level of DFT.

Values from the calculation:
Calculated density: 9.59 g/cm³
Total magnetic moment: 0.00 μB per formula unit
Formation energy (no corrections): 0.362 eV/atom
Symmetry: No. 166
D(E_F): 3.61 states/eV/cell

Cell: 8.3607 8.3607 8.3607 Å, 21.10 21.10 21.10°
Fractional coordinates of all 4 atoms:
Sb (0.7500, 0.7500, 0.7500)
Tc (0.9997, 0.9997, 0.9997)
Tc (0.5003, 0.5003, 0.5003)
Zn (0.2500, 0.2500, 0.2500)

=====

No. 11
Computed, not measured: Ti3Ag3S8 after structural relaxation at the PBE level of DFT.

Values from the calculation:
Calculated density: 4.22 g/cm³
Total magnetic moment: 0.00 μB per formula unit
Formation energy (no corrections): -0.792 eV/atom
Symmetry: No. 166
D(E_F): 6.01 states/eV/cell

Cell: 7.5901 7.5901 7.5901 Å, 56.61 56.61 56.61°
Fractional coordinates of all 14 atoms:
Ti (0.5000, 0.0000, 0.0000)
Ti (0.0000, 0.5000, 0.0000)
Ti (0.0000, 0.0000, 0.5000)
Ag (0.3706, 0.3706, 0.3706)
Ag (0.6294, 0.6294, 0.6294)
Ag (0.0000, 0.0000, 0.0000)
S (0.7608, 0.7608, 0.7608)
S (0.2132, 0.7506, 0.7506)
S (0.7506, 0.2132, 0.7506)
S (0.7506, 0.7506, 0.2132)
S (0.2392, 0.2392, 0.2392)
S (0.7868, 0.2494, 0.2494)
S (0.2494, 0.7868, 0.2494)
S (0.2494, 0.2494, 0.7868)

=====

No. 12
Computed, not measured: ScTiFePt after structural relaxation at the PBE level of DFT.

Values from the calculation:
Energy relative to the elements: -238 kJ/mol of formula units
Calculated density: 9.07 g/cm³
Total magnetic moment: 0.89 μB per formula unit
Symmetry: No. 216
D(E_F): 2.54 states/eV/cell

Cell: 4.4646 4.4646 4.4646 Å, 60.00 60.00 60.00°
Last column: magnetic moment on the atom in μB.
Fractional coordinates of all 4 atoms:
Sc (0.7500, 0.7500, 0.7500)  -0.15
Fe (0.0000, 0.0000, 0.0000)  1.57
Pt (0.5000, 0.5000, 0.5000)  0.10
Ti (0.2500, 0.2500, 0.2500)  -0.45

=====

No. 13
Computed, not measured: Ta2VSi2 after structural relaxation at the PBE level of DFT.

Values from the calculation:
Calculated density: 10.35 g/cm³
Total magnetic moment: 0.00 μB per formula unit
Formation energy (no corrections): -0.545 eV/atom
Symmetry: No. 127
D(E_F): 7.14 states/eV/cell

Cell: 6.4847 6.4847 3.5798 Å, 90.00 90.00 90.00°
Fractional coordinates of all 10 atoms:
Si (0.3687, 0.8687, 0.0000)
Si (0.8687, 0.6313, 0.0000)
Si (0.6313, 0.1313, 0.0000)
Si (0.1313, 0.3687, 0.0000)
Ta (0.1712, 0.6712, 0.5000)
Ta (0.6712, 0.8288, 0.5000)
Ta (0.8288, 0.3288, 0.5000)
Ta (0.3288, 0.1712, 0.5000)
V (0.0000, 0.0000, 0.0000)
V (0.5000, 0.5000, 0.0000)

=====

No. 14
Computed, not measured: CrAs2OsSe after structural relaxation at the PBE level of DFT.

Values from the calculation:
Calculated density: 8.12 g/cm³
Total magnetic moment: 2.30 μB per formula unit
Formation energy (no corrections): 1.165 eV/atom
Symmetry: No. 123
D(E_F): 4.43 states/eV/cell

Cell: 4.5730 4.5730 4.6086 Å, 90.00 90.00 90.00°
Last column: magnetic moment on the atom in μB.
Fractional coordinates of all 5 atoms:
Cr (0.0000, 0.0000, 0.0000)  1.55
As (0.0000, 0.5000, 0.0000)  -0.10
As (0.5000, 0.0000, 0.0000)  -0.10
Os (0.5000, 0.5000, 0.5000)  0.95
Se (0.0000, 0.0000, 0.5000)  -0.07